Version w
# KNaBiAu

Crystalline KNaBiAu at its relaxed geometry (PBE, OQMD).

Summary:
Symmetry: Ama2 (40)

Unit cell a=6.4030 b=6.4293 c=6.4293 alpha=73.86 beta=90.00 gamma=90.00
With the nearest neighbours (Å) after each atom.
Fractional positions:
Na 0.7500 0.5158 0.1505  2 Au 3.30, 4 Bi 3.45-3.67, 1 K 3.55
Na 0.2500 0.1505 0.5158  2 Au 3.30, 4 Bi 3.45-3.67, 1 K 3.55
Au 0.0000 0.9807 0.9807  2 Bi 2.78
K 0.2500 0.4905 0.8670  4 Bi 3.47-3.66, 4 Au 3.54-3.78, 3 Na 3.55-3.71
Bi 0.2500 0.7151 0.2997  2 Au 2.78
Au 0.5000 0.9807 0.9807  2 Bi 2.78
K 0.7500 0.8670 0.4905  4 Bi 3.47-3.66, 4 Au 3.54-3.78, 3 Na 3.55-3.71
Bi 0.7500 0.2997 0.7151  2 Au 2.78

***

Version x
# KNaBiAu

Crystalline KNaBiAu at its relaxed geometry (PBE, OQMD).

Summary:
Symmetry: F-43m (216)

Unit cell a=5.3114 b=5.3114 c=5.3114 alpha=60.00 beta=60.00 gamma=60.00
With the nearest neighbours (Å) after each atom.
Fractional positions:
Na 0.5000 0.5000 0.5000  4 K 3.25, 4 Au 3.25
Bi 0.0000 0.0000 0.0000  4 K 3.25, 4 Au 3.25
Au 0.7500 0.7500 0.7500  4 Na 3.25, 4 Bi 3.25
K 0.2500 0.2500 0.2500  4 Bi 3.25, 4 Na 3.25

***

The data favor version w; the next most stable structure lies 0.166 eV/atom above it.